No. 1
BeSbH | PBE-GGA | relaxed

Properties
Energy above the lowest structure with this stoichiometry   0.079 eV/atom

a b c (Å): 4.1676 4.9092 5.8087
angles (deg): 72.38 70.83 88.70
Atoms (fractional coordinates):
Be 0.7165 0.8819 0.6171
Be 0.1977 0.9589 0.7466
Sb 0.5476 0.3288 0.3150
Sb 0.1222 0.9695 0.1971
H 0.8376 0.9318 0.8048
H 0.3943 0.7054 0.7442


No. 2
AlCdCo | PBE-GGA | relaxed

Properties
Energy above the lowest structure with this stoichiometry   0.184 eV/atom

a b c (Å): 2.8879 2.8879 6.5812
angles (deg): 90.00 90.00 120.00
Atoms (fractional coordinates):
Al 0.0000 0.0000 0.9564
Co 0.3333 0.6667 0.6904
Cd 0.6667 0.3333 0.3532


No. 3
GaRe2Si2 | PBE-GGA | relaxed

Properties
Energy above the lowest structure with this stoichiometry   0.249 eV/atom
Formation energy without anion corrections   0.1451 eV/atom

a b c (Å): 7.3445 7.3445 2.7439
angles (deg): 90.00 90.00 90.00
Atoms (fractional coordinates):
Si 0.8644 0.6356 0.0000
Si 0.1356 0.3644 0.0000
Si 0.3644 0.8644 0.0000
Si 0.6356 0.1356 0.0000
Re 0.8415 0.3415 0.5000
Re 0.6585 0.8415 0.5000
Re 0.1585 0.6585 0.5000
Re 0.3415 0.1585 0.5000
Ga 0.0000 0.0000 0.0000
Ga 0.5000 0.5000 0.0000


No. 4
Sm8Ir2Ru | PBE-GGA | relaxed

Properties
Energy above the lowest structure with this stoichiometry   0.000 eV/atom

a b c (Å): 4.9428 6.9791 9.2087
angles (deg): 105.02 105.57 90.00
Atoms (fractional coordinates):
Sm 0.9698 0.2091 0.9397
Sm 0.4057 0.5456 0.8114
Sm 0.6671 0.9658 0.3341
Sm 0.7961 0.6852 0.5923
Sm 0.2039 0.3148 0.4077
Sm 0.5943 0.4544 0.1886
Sm 0.3329 0.0342 0.6659
Sm 0.0302 0.7909 0.0603
Ir 0.1888 0.7079 0.3776
Ir 0.8112 0.2921 0.6224
Ru 0.5000 0.0000 0.0000


No. 5
PmNdSm2 | PBE-GGA | relaxed

Properties
Energy above the lowest structure with this stoichiometry   0.015 eV/atom

a b c (Å): 3.6475 3.6475 10.3110
angles (deg): 90.00 90.00 90.00
Atoms (fractional coordinates):
Sm 0.0000 0.0000 0.7490
Sm 0.0000 0.0000 0.2510
Nd 0.5000 0.5000 0.0000
Pm 0.5000 0.5000 0.5000


No. 6
Si2BW | PBE-GGA | relaxed

Properties
Formation energy without anion corrections   0.4779 eV/atom

a b c (Å): 6.3311 6.3311 5.1268
angles (deg): 51.87 51.87 90.00
Atoms (fractional coordinates):
Si 0.5500 0.1250 0.2500
Si 0.8750 0.8000 0.7500
Si 0.3750 0.4500 0.7500
Si 0.2000 0.6250 0.2500
W 0.7500 0.2500 0.5000
W 0.0000 0.0000 0.0000
B 0.2500 0.7500 0.5000
B 0.5000 0.5000 0.0000


No. 7
Zn3GaSn | PBE-GGA | relaxed

Properties
Energy above the lowest structure with this stoichiometry   0.188 eV/atom

a b c (Å): 5.2115 5.2115 5.2115
angles (deg): 90.00 90.00 90.00
Atoms (fractional coordinates):
Ga 0.5000 0.5000 0.5000
Zn 0.0000 0.5000 0.0000
Zn 0.0000 0.0000 0.5000
Zn 0.5000 0.0000 0.0000
Sn 0.0000 0.0000 0.0000


No. 8
LiLuMnRh | PBE-GGA | relaxed

a b c (Å): 4.5719 4.5719 4.5719
angles (deg): 60.00 60.00 60.00
Atoms (fractional coordinates):
Li 0.0000 0.0000 0.0000
Rh 0.5000 0.5000 0.5000
Lu 0.2500 0.2500 0.2500
Mn 0.7500 0.7500 0.7500


No. 9
Tl3GePb | PBE-GGA | relaxed

Properties
Energy above the lowest structure with this stoichiometry   0.000 eV/atom

a b c (Å): 5.5462 5.5462 5.5462
angles (deg): 90.00 90.00 90.00
Atoms (fractional coordinates):
Tl 0.0000 0.0000 0.5000
Tl 0.5000 0.0000 0.0000
Tl 0.0000 0.5000 0.0000
Ge 0.0000 0.0000 0.0000
Pb 0.5000 0.5000 0.5000


No. 10
MoPt2Pb | PBE-GGA | relaxed

a b c (Å): 5.7093 5.7093 5.7093
angles (deg): 150.28 127.72 61.30
Atoms (fractional coordinates):
Pb 0.2491 0.7491 0.5000
Mo 0.5117 0.5117 0.0000
Pt 0.7433 0.2433 0.5000
Pt 0.9958 0.9958 0.0000


No. 11
PmNd4Ru2 | PBE-GGA | relaxed

Properties
Energy above the lowest structure with this stoichiometry   0.000 eV/atom

a b c (Å): 6.6555 8.0078 8.0118
angles (deg): 112.62 90.00 90.00
Atoms (fractional coordinates):
Nd 0.5027 0.4127 0.7573
Nd 0.2500 0.9786 0.6240
Nd 0.9973 0.4127 0.7573
Nd 0.0027 0.5873 0.2427
Nd 0.2500 0.2402 0.3199
Nd 0.7500 0.0214 0.3760
Nd 0.4973 0.5873 0.2427
Nd 0.7500 0.7598 0.6801
Ru 0.2500 0.6291 0.5931
Ru 0.2500 0.2566 0.9841
Ru 0.7500 0.3709 0.4069
Ru 0.7500 0.7434 0.0159
Pm 0.2500 0.8373 0.9711
Pm 0.7500 0.1627 0.0289


No. 12
ZrRe3Te | PBE-GGA | relaxed

Properties
Energy above the lowest structure with this stoichiometry   0.000 eV/atom
Formation energy without anion corrections   1.9256 eV/atom

a b c (Å): 4.7775 4.7775 4.7775
angles (deg): 90.00 90.00 90.00
Atoms (fractional coordinates):
Te 0.0000 0.0000 0.0000
Re 0.0000 0.0000 0.5000
Re 0.5000 0.0000 0.0000
Re 0.0000 0.5000 0.0000
Zr 0.5000 0.5000 0.5000


No. 13
CaMnAs2Se | PBE-GGA | relaxed

Properties
Energy above the lowest structure with this stoichiometry   0.000 eV/atom
Formation energy without anion corrections   -0.3594 eV/atom

a b c (Å): 4.5831 4.5831 5.4617
angles (deg): 90.00 90.00 90.00
Atoms (fractional coordinates):
As 0.5000 0.0000 0.0000
As 0.0000 0.5000 0.0000
Ca 0.5000 0.5000 0.5000
Se 0.0000 0.0000 0.5000
Mn 0.0000 0.0000 0.0000


No. 14
BiTeH | PBE-GGA | relaxed

Properties
Energy above the lowest structure with this stoichiometry   0.000 eV/atom

a b c (Å): 4.2982 6.0802 10.4495
angles (deg): 87.62 88.41 45.06
Atoms (fractional coordinates):
Bi 0.0025 0.9876 0.1493
Bi 0.9975 0.0124 0.8507
Te 0.0040 0.4808 0.2245
Te 0.9960 0.5192 0.7755
H 0.9933 0.9420 0.5061
H 0.0067 0.0580 0.4939


No. 15
HfPt | PBE-GGA | relaxed

a b c (Å): 3.3285 3.3285 3.3285
angles (deg): 90.00 90.00 90.00
Atoms (fractional coordinates):
Hf 0.0000 0.0000 0.0000
Pt 0.5000 0.5000 0.5000


No. 16
Ac8NiSn3 | PBE-GGA | relaxed

a b c (Å): 7.8032 7.8032 9.5906
angles (deg): 114.00 114.00 90.00
Atoms (fractional coordinates):
Ac 0.3557 0.3557 0.2356
Ac 0.3557 0.8799 0.2356
Ac 0.6443 0.1201 0.7644
Ac 0.8799 0.8799 0.2356
Ac 0.1201 0.6443 0.7644
Ac 0.1201 0.1201 0.7644
Ac 0.6443 0.6443 0.7644
Ac 0.8799 0.3557 0.2356
Ni 0.0000 0.0000 0.0000
Sn 0.7500 0.2500 0.5000
Sn 0.2500 0.7500 0.5000
Sn 0.5000 0.5000 0.0000


No. 17
CeCuHg6 | PBE-GGA | relaxed

a b c (Å): 6.3178 6.3178 22.9554
angles (deg): 82.09 82.09 60.00
Atoms (fractional coordinates):
Hg 0.3830 0.8648 0.8875
Hg 0.6170 0.1352 0.1125
Hg 0.1352 0.6170 0.1125
Hg 0.8648 0.3830 0.8875
Hg 0.8648 0.8648 0.8875
Hg 0.1352 0.1352 0.1125
Cu 0.5000 0.5000 0.5000
Ce 0.0000 0.0000 0.0000


No. 18
LiCrCl2 | PBE-GGA | relaxed

Properties
Energy above the lowest structure with this stoichiometry   0.100 eV/atom
Formation energy without anion corrections   -0.9305 eV/atom

a b c (Å): 3.5486 5.2648 7.7271
angles (deg): 103.71 90.07 91.35
Atoms (fractional coordinates):
Cl 0.7659 0.1946 0.8590
Cl 0.2216 0.6352 0.6804
Cl 0.2341 0.8054 0.1410
Cl 0.7784 0.3648 0.3196
Li 0.7348 0.7276 0.9028
Li 0.2652 0.2724 0.0972
Cr 0.1440 0.8619 0.4562
Cr 0.8560 0.1381 0.5438


No. 19
FeBi2Pd | PBE-GGA | relaxed

Properties
Energy above the lowest structure with this stoichiometry   0.000 eV/atom

a b c (Å): 4.8522 4.8522 4.8522
angles (deg): 60.00 60.00 60.00
Atoms (fractional coordinates):
Pd 0.5000 0.5000 0.5000
Fe 0.0000 0.0000 0.0000
Bi 0.2500 0.2500 0.2500
Bi 0.7500 0.7500 0.7500


No. 20
Be2NbOs2 | PBE-GGA | relaxed

Properties
Energy above the lowest structure with this stoichiometry   0.345 eV/atom

a b c (Å): 6.8123 6.8123 2.8221
angles (deg): 90.00 90.00 90.00
Atoms (fractional coordinates):
Be 0.3467 0.1533 0.5000
Be 0.8467 0.3467 0.5000
Be 0.1533 0.6533 0.5000
Be 0.6533 0.8467 0.5000
Os 0.8598 0.6402 0.0000
Os 0.6402 0.1402 0.0000
Os 0.3598 0.8598 0.0000
Os 0.1402 0.3598 0.0000
Nb 0.0000 0.0000 0.0000
Nb 0.5000 0.5000 0.0000


| no. | DOS at the Fermi energy (states/eV/cell) | uncorrected energy (eV/cell) |
| --- | --- | --- |
| 1 | 0.1 | -21.762 |
| 2 | 2.6 | -11.425 |
| 3 | 9.2 | -76.087 |
| 4 | 10.6 | -68.702 |
| 5 | 5.2 | -18.904 |
| 6 | 4.3 | -57.130 |
| 7 | 2.2 | -8.076 |
| 8 | 2.3 | -24.104 |
| 9 | 5.9 | -13.577 |
| 10 | 3.6 | -25.665 |
| 11 | 14.7 | -86.243 |
| 12 | 4.4 | -39.406 |
| 13 | 3.6 | -25.752 |
| 14 | 1.4 | -21.136 |
| 15 | 2.2 | -17.986 |
| 16 | 13.5 | -53.935 |
| 17 | 13.7 | -6.453 |
| 18 | 0.0 | -37.905 |
| 19 | 4.8 | -19.840 |
| 20 | 9.2 | -79.212 |